The following is a DFT calculation (PBE) of crystalline SbTeS at its relaxed geometry.

Geometry as POSCAR:
```
SbTeS
1.0
4.482 -1.859 0.000
4.482 1.859 0.000
-3.720 0.000 12.724
Sb Te S
2 2 2
direct
0.031 0.031 0.262 Sb
0.969 0.969 0.738 Sb
0.392 0.392 0.903 Te
0.608 0.608 0.097 Te
0.299 0.299 0.633 S
0.701 0.701 0.367 S
```

As for the raw formation energy: 55.1 meV per atom. The electronic total energy comes out at -22.45 eV/cell. For the spin magnetization, the calculation gives 0.00 μB/atom. For the energy above the lowest structure with this stoichiometry, the calculation gives 0.186 eV/f.u. Its volume is 35.346 Å³/atom.

---

The following is a DFT calculation (PBE) of crystalline DyCuBiRh at its relaxed geometry.

Geometry as POSCAR:
```
DyCuBiRh
1.0
0.000 3.408 3.408
3.408 0.000 3.408
3.408 3.408 0.000
Dy Cu Bi Rh
1 1 1 1
direct
0.000 0.000 0.000 Dy
0.250 0.250 0.250 Cu
0.500 0.500 0.500 Bi
0.750 0.750 0.750 Rh
```

The electronic total energy comes out at -21.49 eV/cell. For the spin magnetization, the calculation gives 0.00 μB/atom. The calculation puts the formation energy at -0.391 eV/atom. Its volume is 19.786 Å³/atom.

---

The following is a DFT calculation (PBE) of crystalline TcSbPt2 at its relaxed geometry.

Geometry as POSCAR:
```
TcSbPt2
1.0
1.470 0.849 9.207
-1.470 0.849 9.207
0.000 -1.698 9.207
Tc Sb Pt
1 1 2
direct
0.000 0.000 0.000 Tc
0.500 0.500 0.500 Sb
0.255 0.255 0.255 Pt
0.745 0.745 0.745 Pt
```

As for the raw formation energy: 178.2 meV per atom. The electronic total energy comes out at -25.86 eV/cell. For the spin magnetization, the calculation gives 0.00 μB/atom. Its volume is 17.240 Å³/atom.

---

The following is a DFT calculation (PBE) of crystalline TbHo2Ir at its relaxed geometry.

Geometry as POSCAR:
```
TbHo2Ir
1.0
3.468 0.000 0.000
0.000 3.468 0.000
0.000 0.000 8.766
Tb Ho Ir
1 2 1
direct
0.000 0.000 0.000 Tb
0.500 0.500 0.314 Ho
0.500 0.500 0.686 Ho
0.000 0.000 0.500 Ir
```

The electronic total energy comes out at -24.31 eV/cell. For the spin magnetization, the calculation gives 0.00 μB/atom. The calculation puts the formation energy at -0.415 eV/atom. For the energy above the lowest structure with this stoichiometry, the calculation gives 0.690 eV/f.u. Its volume is 26.354 Å³/atom.